The following is a DFT calculation (PBE) of a relaxed La4CoCCl2 crystal.

## Properties
E_form (uncorrected) = -21.34 kcal/mol of atoms
space-group type = P2/m, No. 10

```
8
Lattice="7.221 0.000 0.000 0.000 3.832 0.000 -2.469 0.000 7.385" Properties=species:S:1:pos:R:3 pbc="T T T"
La 1.005 0.000 1.474
La -0.016 1.916 5.977
La 4.769 1.916 1.408
La 3.748 0.000 5.911
Co 3.611 0.000 0.000
C 0.000 1.916 0.000
Cl -1.234 0.000 3.693
Cl 2.376 1.916 3.693
```